(1)
# SCAN LiSmO2, PBEsol geometry
data_LiSmO2
_cell_length_a 5.666
_cell_length_b 5.969
_cell_length_c 5.619
_cell_angle_alpha 90.00
_cell_angle_beta 103.21
_cell_angle_gamma 90.00
_symmetry_space_group_name_H-M 'P 1 21/c 1'
_symmetry_Int_Tables_number 14
loop_
_symmetry_equiv_pos_as_xyz
'x,y,z'
'-x,-y,-z'
'-x,y+1/2,-z+1/2'
'x,-y+1/2,z+1/2'
loop_
_atom_site_label
_atom_site_fract_x
_atom_site_fract_y
_atom_site_fract_z
Li1 0.159 0.138 0.166
Sm1 0.299 0.569 0.194
O1 0.070 0.633 0.792
O2 0.416 0.239 0.982
# Formation energy from raw total energies: -3125.3 meV/atom
# Density: 6.80 g/cm³
# Uncorrected energy: -17.95 eV/atom

***

(2)
# SCAN AlSiPb, PBEsol geometry
data_AlSiPb
_cell_length_a 6.574
_cell_length_b 6.574
_cell_length_c 6.574
_cell_angle_alpha 90.00
_cell_angle_beta 90.00
_cell_angle_gamma 90.00
_symmetry_space_group_name_H-M 'F -4 3 m'
_symmetry_Int_Tables_number 216
_symmetry_space_group_name_Hall 'F -4 2 3'
loop_
_atom_site_label
_atom_site_fract_x
_atom_site_fract_y
_atom_site_fract_z
Al1 0.000 0.000 0.000
Si1 0.250 0.250 0.750
Pb1 0.000 0.000 0.500
# Formation energy from raw total energies: 517.2 meV/atom
# Density: 6.13 g/cm³
# Offset from the most stable computed form: 110 meV/atom
# Uncorrected energy: -30.67 eV/atom

***

(3)
# SCAN La2AlSe, PBEsol geometry
data_La2AlSe
_cell_length_a 3.6783
_cell_length_b 3.6783
_cell_length_c 28.2246
_cell_angle_alpha 90.00
_cell_angle_beta 90.00
_cell_angle_gamma 120.00
_symmetry_space_group_name_H-M 'R 3 m'
_symmetry_Int_Tables_number 160
_symmetry_space_group_name_Hall 'R 3 -2"'
loop_
_atom_site_label
_atom_site_fract_x
_atom_site_fract_y
_atom_site_fract_z
La1 0.0000 0.0000 0.0000
La2 0.0000 0.0000 0.2273
Al1 0.0000 0.0000 0.7582
Se1 0.0000 0.0000 0.4804
# Formation energy from raw total energies: -506.4 meV/atom
# Density: 5.78 g/cm³
# Offset from the most stable computed form: 682 meV/atom
# Uncorrected energy: -29.02 eV/atom

***

(4)
# SCAN K3CdW, PBEsol geometry
data_K3CdW
_cell_length_a 6.321
_cell_length_b 6.321
_cell_length_c 6.321
_cell_angle_alpha 90.00
_cell_angle_beta 90.00
_cell_angle_gamma 90.00
_symmetry_space_group_name_H-M 'P m -3 m'
_symmetry_Int_Tables_number 221
_symmetry_space_group_name_Hall '-P 4 2 3'
loop_
_atom_site_label
_atom_site_fract_x
_atom_site_fract_y
_atom_site_fract_z
K1 0.000 0.000 0.500
Cd1 0.000 0.000 0.000
W1 0.500 0.500 0.500
# Density: 2.72 g/cm³
# ΔH_f (0 K): 1511 meV/atom
# Uncorrected energy: -23.51 eV/atom

***

(5)
# SCAN Sr2ZnSb, PBEsol geometry
data_Sr2ZnSb
_cell_length_a 5.405
_cell_length_b 5.414
_cell_length_c 8.968
_cell_angle_alpha 90.00
_cell_angle_beta 90.00
_cell_angle_gamma 90.00
_symmetry_space_group_name_H-M 'C m m 2'
_symmetry_Int_Tables_number 35
loop_
_symmetry_equiv_pos_as_xyz
'x,y,z'
'-x,-y,z'
'-x,y,z'
'x,-y,z'
'x+1/2,y+1/2,z'
'-x+1/2,-y+1/2,z'
'-x+1/2,y+1/2,z'
'x+1/2,-y+1/2,z'
loop_
_atom_site_label
_atom_site_fract_x
_atom_site_fract_y
_atom_site_fract_z
Sr1 0.000 0.000 0.000
Sr2 0.000 0.500 0.397
Zn1 0.000 0.000 0.617
Sb1 0.000 0.500 0.764
# Formation energy from raw total energies: -305.8 meV/atom
# Density: 4.59 g/cm³
# Offset from the most stable computed form: 430 meV/atom
# Uncorrected energy: -24.14 eV/atom

***

(6)
# SCAN KLi4Os, PBEsol geometry
data_KLi4Os
_cell_length_a 7.499
_cell_length_b 7.499
_cell_length_c 7.499
_cell_angle_alpha 90.00
_cell_angle_beta 90.00
_cell_angle_gamma 90.00
_symmetry_space_group_name_H-M 'F -4 3 m'
_symmetry_Int_Tables_number 216
_symmetry_space_group_name_Hall 'F -4 2 3'
loop_
_atom_site_label
_atom_site_fract_x
_atom_site_fract_y
_atom_site_fract_z
K1 0.000 0.000 0.000
Li1 0.120 0.120 0.380
Os1 0.250 0.250 0.750
# Density: 4.05 g/cm³
# ΔH_f (0 K): 750 meV/atom
# Uncorrected energy: -14.21 eV/atom

***

(7)
# SCAN CaHgAsRh2, PBEsol geometry
data_CaHgAsRh2
_cell_length_a 4.668
_cell_length_b 4.668
_cell_length_c 5.192
_cell_angle_alpha 90.00
_cell_angle_beta 90.00
_cell_angle_gamma 90.00
_symmetry_space_group_name_H-M 'P 4/m m m'
_symmetry_Int_Tables_number 123
_symmetry_space_group_name_Hall '-P 4 2'
loop_
_atom_site_label
_atom_site_fract_x
_atom_site_fract_y
_atom_site_fract_z
Ca1 0.000 0.000 0.000
Hg1 0.000 0.000 0.500
As1 0.500 0.500 0.500
Rh1 0.000 0.500 0.000
# Density: 7.65 g/cm³
# ΔH_f (0 K): 1421 meV/atom
# Uncorrected energy: -31.69 eV/atom

***

(8)
# SCAN ScMoOs2, PBEsol geometry
data_ScMoOs2
_cell_length_a 5.507
_cell_length_b 8.627
_cell_length_c 2.758
_cell_angle_alpha 90.00
_cell_angle_beta 111.87
_cell_angle_gamma 90.00
_symmetry_space_group_name_H-M 'C 1 2/m 1'
_symmetry_Int_Tables_number 12
loop_
_symmetry_equiv_pos_as_xyz
'x,y,z'
'-x,-y,-z'
'-x,y,-z'
'x,-y,z'
'x+1/2,y+1/2,z'
'-x+1/2,-y+1/2,-z'
'-x+1/2,y+1/2,-z'
'x+1/2,-y+1/2,z'
loop_
_atom_site_label
_atom_site_fract_x
_atom_site_fract_y
_atom_site_fract_z
Sc1 0.000 0.000 0.000
Mo1 0.000 0.500 0.000
Os1 0.250 0.250 0.500
# Density: 14.24 g/cm³
# ΔH_f (0 K): -16 meV/atom
# Uncorrected energy: -48.24 eV/atom

***

(9)
# SCAN GaMo3Pd, PBEsol geometry
data_GaMo3Pd
_cell_length_a 4.652
_cell_length_b 4.652
_cell_length_c 4.652
_cell_angle_alpha 90.00
_cell_angle_beta 90.00
_cell_angle_gamma 90.00
_symmetry_space_group_name_H-M 'P m -3 m'
_symmetry_Int_Tables_number 221
_symmetry_space_group_name_Hall '-P 4 2 3'
loop_
_atom_site_label
_atom_site_fract_x
_atom_site_fract_y
_atom_site_fract_z
Ga1 0.000 0.000 0.000
Mo1 0.000 0.500 0.500
Pd1 0.500 0.500 0.500
# Density: 7.65 g/cm³
# ΔH_f (0 K): 1976 meV/atom
# Uncorrected energy: -28.78 eV/atom

***

(10)
# SCAN BaCuAu2, PBEsol geometry
data_BaCuAu2
_cell_length_a 7.104
_cell_length_b 7.104
_cell_length_c 7.104
_cell_angle_alpha 90.00
_cell_angle_beta 90.00
_cell_angle_gamma 90.00
_symmetry_space_group_name_H-M 'F -4 3 m'
_symmetry_Int_Tables_number 216
_symmetry_space_group_name_Hall 'F -4 2 3'
loop_
_atom_site_label
_atom_site_fract_x
_atom_site_fract_y
_atom_site_fract_z
Ba1 0.000 0.000 0.000
Cu1 0.250 0.250 0.250
Au1 0.000 0.000 0.500
Au2 0.250 0.250 0.750
# Density: 11.02 g/cm³
# ΔH_f (0 K): -97 meV/atom
# Uncorrected energy: -48.36 eV/atom

***

(11)
# SCAN Ba3LiH, PBEsol geometry
data_Ba3LiH
_cell_length_a 5.770
_cell_length_b 5.770
_cell_length_c 5.770
_cell_angle_alpha 90.00
_cell_angle_beta 90.00
_cell_angle_gamma 90.00
_symmetry_space_group_name_H-M 'P m -3 m'
_symmetry_Int_Tables_number 221
_symmetry_space_group_name_Hall '-P 4 2 3'
loop_
_atom_site_label
_atom_site_fract_x
_atom_site_fract_y
_atom_site_fract_z
Ba1 0.000 0.000 0.500
Li1 0.500 0.500 0.500
H1 0.000 0.000 0.000
# Density: 3.63 g/cm³
# Uncorrected energy: -25.00 eV/atom

***

(12)
# SCAN Sc3ZnSi, PBEsol geometry
data_Sc3ZnSi
_cell_length_a 4.945
_cell_length_b 4.945
_cell_length_c 4.945
_cell_angle_alpha 90.00
_cell_angle_beta 90.00
_cell_angle_gamma 90.00
_symmetry_space_group_name_H-M 'P m -3 m'
_symmetry_Int_Tables_number 221
_symmetry_space_group_name_Hall '-P 4 2 3'
loop_
_atom_site_label
_atom_site_fract_x
_atom_site_fract_y
_atom_site_fract_z
Sc1 0.000 0.000 0.500
Zn1 0.500 0.500 0.500
Si1 0.000 0.000 0.000
# Formation energy from raw total energies: -6.4 meV/atom
# Density: 3.14 g/cm³
# Uncorrected energy: -13.25 eV/atom

***

(13)
# SCAN BePb2Br, PBEsol geometry
data_BePb2Br
_cell_length_a 8.271
_cell_length_b 8.099
_cell_length_c 3.290
_cell_angle_alpha 90.00
_cell_angle_beta 112.29
_cell_angle_gamma 90.00
_symmetry_space_group_name_H-M 'C 1 2/m 1'
_symmetry_Int_Tables_number 12
loop_
_symmetry_equiv_pos_as_xyz
'x,y,z'
'-x,-y,-z'
'-x,y,-z'
'x,-y,z'
'x+1/2,y+1/2,z'
'-x+1/2,-y+1/2,-z'
'-x+1/2,y+1/2,-z'
'x+1/2,-y+1/2,z'
loop_
_atom_site_label
_atom_site_fract_x
_atom_site_fract_y
_atom_site_fract_z
Be1 0.000 0.000 0.000
Pb1 0.250 0.250 0.500
Br1 0.000 0.500 0.000
# Formation energy from raw total energies: 274.6 meV/atom
# Density: 8.20 g/cm³
# Offset from the most stable computed form: 85 meV/atom
# Uncorrected energy: -43.57 eV/atom

***

(14)
# SCAN Sr4CaMn2S2O6, PBEsol geometry
data_Sr4CaMn2S2O6
_cell_length_a 3.843
_cell_length_b 3.843
_cell_length_c 16.692
_cell_angle_alpha 90.00
_cell_angle_beta 90.00
_cell_angle_gamma 90.00
_symmetry_space_group_name_H-M 'P -4 m 2'
_symmetry_Int_Tables_number 115
loop_
_symmetry_equiv_pos_as_xyz
'x,y,z'
'y,-x,-z'
'-x,-y,z'
'-y,x,-z'
'-x,y,z'
'-y,-x,-z'
'x,-y,z'
'y,x,-z'
loop_
_atom_site_label
_atom_site_fract_x
_atom_site_fract_y
_atom_site_fract_z
Sr1 0.000 0.500 0.081
Sr2 0.000 0.500 0.296
Ca1 0.500 0.500 0.500
Mn1 0.000 0.500 0.818
S1 0.000 0.500 0.612
O1 0.000 0.000 0.198
O2 0.000 0.500 0.935
O3 0.500 0.500 0.198
# Formation energy from raw total energies: -2614.9 meV/atom
# Density: 4.45 g/cm³
# Uncorrected energy: -15.41 eV/atom

***

(15)
# SCAN RuRh3I, PBEsol geometry
data_RuRh3I
_cell_length_a 4.705
_cell_length_b 4.705
_cell_length_c 4.705
_cell_angle_alpha 90.00
_cell_angle_beta 90.00
_cell_angle_gamma 90.00
_symmetry_space_group_name_H-M 'P m -3 m'
_symmetry_Int_Tables_number 221
_symmetry_space_group_name_Hall '-P 4 2 3'
loop_
_atom_site_label
_atom_site_fract_x
_atom_site_fract_y
_atom_site_fract_z
Ru1 0.000 0.000 0.000
Rh1 0.000 0.500 0.500
I1 0.500 0.500 0.500
# Formation energy from raw total energies: 1674.7 meV/atom
# Density: 8.56 g/cm³
# Uncorrected energy: -32.90 eV/atom

***

(16)
# SCAN Ta3Tc, PBEsol geometry
data_Ta3Tc
_cell_length_a 2.9334
_cell_length_b 2.9334
_cell_length_c 9.1353
_cell_angle_alpha 90.00
_cell_angle_beta 90.00
_cell_angle_gamma 120.00
_symmetry_space_group_name_H-M 'P -6 m 2'
_symmetry_Int_Tables_number 187
_symmetry_space_group_name_Hall 'P -6 2'
loop_
_atom_site_label
_atom_site_fract_x
_atom_site_fract_y
_atom_site_fract_z
Ta1 0.0000 0.0000 0.0000
Ta2 0.3333 0.6667 0.2696
Tc1 0.0000 0.0000 0.5000
# Density: 15.63 g/cm³
# ΔH_f (0 K): 244 meV/atom
# Offset from the most stable computed form: 565 meV/atom
# Uncorrected energy: -58.46 eV/atom

***

(17)
# SCAN Mg2SeF2, PBEsol geometry
data_Mg2SeF2
_cell_length_a 7.239
_cell_length_b 7.239
_cell_length_c 3.551
_cell_angle_alpha 90.00
_cell_angle_beta 90.00
_cell_angle_gamma 90.00
_symmetry_space_group_name_H-M 'P 4/m b m'
_symmetry_Int_Tables_number 127
_symmetry_space_group_name_Hall '-P 4 2ab'
loop_
_atom_site_label
_atom_site_fract_x
_atom_site_fract_y
_atom_site_fract_z
Mg1 0.199 0.301 0.000
Se1 0.000 0.000 0.000
F1 0.131 0.369 0.500
# Formation energy from raw total energies: -2356.9 meV/atom
# Density: 2.95 g/cm³
# Uncorrected energy: -9.78 eV/atom

***

(18)
# SCAN TaFeRe2, PBEsol geometry
data_TaFeRe2
_cell_length_a 6.142
_cell_length_b 6.142
_cell_length_c 6.142
_cell_angle_alpha 90.00
_cell_angle_beta 90.00
_cell_angle_gamma 90.00
_symmetry_space_group_name_H-M 'F -4 3 m'
_symmetry_Int_Tables_number 216
_symmetry_space_group_name_Hall 'F -4 2 3'
loop_
_atom_site_label
_atom_site_fract_x
_atom_site_fract_y
_atom_site_fract_z
Ta1 0.000 0.000 0.000
Fe1 0.250 0.250 0.250
Re1 0.000 0.000 0.500
Re2 0.250 0.250 0.750
# Density: 17.46 g/cm³
# ΔH_f (0 K): -113 meV/atom
# Uncorrected energy: -56.84 eV/atom

***

(19)
# SCAN ZnCl3, PBEsol geometry
data_ZnCl3
_cell_length_a 4.767
_cell_length_b 4.767
_cell_length_c 4.767
_cell_angle_alpha 90.00
_cell_angle_beta 90.00
_cell_angle_gamma 90.00
_symmetry_space_group_name_H-M 'P m -3 m'
_symmetry_Int_Tables_number 221
_symmetry_space_group_name_Hall '-P 4 2 3'
loop_
_atom_site_label
_atom_site_fract_x
_atom_site_fract_y
_atom_site_fract_z
Zn1 0.000 0.000 0.000
Cl1 0.000 0.000 0.500
# Formation energy from raw total energies: -540.2 meV/atom
# Density: 2.63 g/cm³
# Uncorrected energy: -9.90 eV/atom

***

(20)
# SCAN Tm5Si2Sb2, PBEsol geometry
data_Tm5Si2Sb2
_cell_length_a 14.722
_cell_length_b 7.623
_cell_length_c 7.645
_cell_angle_alpha 90.00
_cell_angle_beta 90.00
_cell_angle_gamma 90.00
_symmetry_space_group_name_H-M 'C m c e'
_symmetry_Int_Tables_number 64
_symmetry_space_group_name_Hall '-C 2ac 2'
loop_
_atom_site_label
_atom_site_fract_x
_atom_site_fract_y
_atom_site_fract_z
Tm1 0.000 0.000 0.000
Tm2 0.126 0.168 0.332
Si1 0.000 0.128 0.627
Sb1 0.207 0.000 0.000
# Formation energy from raw total energies: -954.6 meV/atom
# Density: 8.86 g/cm³
# Uncorrected energy: -40.26 eV/atom